# Hg5P GGA-PBE relaxed
data_Hg5P
_chemical_formula_sum 'Hg10 P2'
_cell_length_a 6.971
_cell_length_b 6.971
_cell_length_c 8.162
_cell_angle_alpha 90.00
_cell_angle_beta 90.00
_cell_angle_gamma 105.88
_space_group_name_H-M_alt 'P 1'
_space_group_IT_number 1
loop_
_space_group_symop_operation_xyz
'x,y,z'
loop_
_atom_site_label
_atom_site_fract_x
_atom_site_fract_y
_atom_site_fract_z
Hg1 0.123 0.877 0.541
Hg2 0.123 0.877 0.959
Hg3 0.128 0.322 0.750
Hg4 0.322 0.128 0.250
Hg5 0.370 0.630 0.250
Hg6 0.630 0.370 0.750
Hg7 0.678 0.872 0.750
Hg8 0.872 0.678 0.250
Hg9 0.877 0.123 0.041
Hg10 0.877 0.123 0.459
P1 0.287 0.713 0.750
P2 0.713 0.287 0.250
# VASP energy = -0.9649 eV/atom
# Volume = 31.79 A^3/atom

# HgP5 GGA-PBE relaxed
data_HgP5
_chemical_formula_sum 'Hg4 P20'
_cell_length_a 6.513
_cell_length_b 6.444
_cell_length_c 12.196
_cell_angle_alpha 90.00
_cell_angle_beta 90.00
_cell_angle_gamma 90.00
_space_group_name_H-M_alt 'P 1'
_space_group_IT_number 1
loop_
_space_group_symop_operation_xyz
'x,y,z'
loop_
_atom_site_label
_atom_site_fract_x
_atom_site_fract_y
_atom_site_fract_z
Hg1 0.000 0.046 0.000
Hg2 0.000 0.954 0.500
Hg3 0.500 0.257 0.158
Hg4 0.500 0.743 0.658
P1 0.000 0.317 0.203
P2 0.000 0.334 0.382
P3 0.000 0.346 0.679
P4 0.000 0.654 0.179
P5 0.000 0.666 0.882
P6 0.000 0.683 0.703
P7 0.246 0.223 0.788
P8 0.246 0.777 0.288
P9 0.252 0.454 0.930
P10 0.252 0.546 0.430
P11 0.500 0.110 0.544
P12 0.500 0.314 0.393
P13 0.500 0.331 0.679
P14 0.500 0.669 0.179
P15 0.500 0.686 0.893
P16 0.500 0.890 0.044
P17 0.748 0.454 0.930
P18 0.748 0.546 0.430
P19 0.754 0.223 0.788
P20 0.754 0.777 0.288
# Volume = 21.33 A^3/atom
# E above lowest polymorph = 0 meV/atom

# HgP5 GGA-PBE relaxed
data_HgP5
_chemical_formula_sum 'Hg2 P10'
_cell_length_a 5.367
_cell_length_b 9.600
_cell_length_c 5.558
_cell_angle_alpha 90.00
_cell_angle_beta 108.73
_cell_angle_gamma 90.00
_space_group_name_H-M_alt 'P 1'
_space_group_IT_number 1
loop_
_space_group_symop_operation_xyz
'x,y,z'
loop_
_atom_site_label
_atom_site_fract_x
_atom_site_fract_y
_atom_site_fract_z
Hg1 0.235 0.250 0.307
Hg2 0.765 0.750 0.693
P1 0.291 0.511 0.380
P2 0.291 0.989 0.380
P3 0.352 0.250 0.850
P4 0.355 0.580 0.024
P5 0.355 0.920 0.024
P6 0.645 0.080 0.976
P7 0.645 0.420 0.976
P8 0.648 0.750 0.150
P9 0.709 0.011 0.620
P10 0.709 0.489 0.620
# Volume = 22.60 A^3/atom
# E above lowest polymorph = 9 meV/atom

# Hg4P GGA-PBE relaxed
data_Hg4P
_chemical_formula_sum 'Hg4 P1'
_cell_length_a 5.662
_cell_length_b 5.662
_cell_length_c 5.662
_cell_angle_alpha 109.47
_cell_angle_beta 109.47
_cell_angle_gamma 109.47
_space_group_name_H-M_alt 'P 1'
_space_group_IT_number 1
loop_
_space_group_symop_operation_xyz
'x,y,z'
loop_
_atom_site_label
_atom_site_fract_x
_atom_site_fract_y
_atom_site_fract_z
Hg1 0.000 0.000 0.500
Hg2 0.000 0.500 0.000
Hg3 0.500 0.000 0.000
Hg4 0.500 0.500 0.500
P1 0.000 0.000 0.000
# VASP energy = -1.0354 eV/atom
# Volume = 27.94 A^3/atom

# HgP14Pb GGA-PBE relaxed
data_HgP14Pb
_chemical_formula_sum 'Hg4 P56 Pb4'
_cell_length_a 13.203
_cell_length_b 9.904
_cell_length_c 10.980
_cell_angle_alpha 90.00
_cell_angle_beta 90.00
_cell_angle_gamma 90.00
_space_group_name_H-M_alt 'P 1'
_space_group_IT_number 1
loop_
_space_group_symop_operation_xyz
'x,y,z'
loop_
_atom_site_label
_atom_site_fract_x
_atom_site_fract_y
_atom_site_fract_z
Hg1 0.187 0.250 0.005
Hg2 0.313 0.750 0.505
Hg3 0.687 0.250 0.495
Hg4 0.813 0.750 0.995
P1 0.030 0.576 0.846
P2 0.030 0.924 0.846
P3 0.032 0.250 0.838
P4 0.056 0.750 0.721
P5 0.066 0.083 0.710
P6 0.066 0.417 0.710
P7 0.073 0.579 0.416
P8 0.073 0.921 0.416
P9 0.081 0.250 0.399
P10 0.135 0.047 0.140
P11 0.135 0.453 0.140
P12 0.167 0.750 0.351
P13 0.173 0.077 0.333
P14 0.173 0.423 0.333
P15 0.327 0.577 0.833
P16 0.327 0.923 0.833
P17 0.333 0.250 0.851
P18 0.365 0.547 0.640
P19 0.365 0.953 0.640
P20 0.419 0.750 0.899
P21 0.427 0.079 0.916
P22 0.427 0.421 0.916
P23 0.434 0.583 0.210
P24 0.434 0.917 0.210
P25 0.444 0.250 0.221
P26 0.468 0.750 0.338
P27 0.470 0.076 0.346
P28 0.470 0.424 0.346
P29 0.530 0.576 0.654
P30 0.530 0.924 0.654
P31 0.532 0.250 0.662
P32 0.556 0.750 0.779
P33 0.566 0.083 0.790
P34 0.566 0.417 0.790
P35 0.573 0.579 0.084
P36 0.573 0.921 0.084
P37 0.581 0.250 0.101
P38 0.635 0.047 0.360
P39 0.635 0.453 0.360
P40 0.667 0.750 0.149
P41 0.673 0.077 0.167
P42 0.673 0.423 0.167
P43 0.827 0.577 0.667
P44 0.827 0.923 0.667
P45 0.833 0.250 0.649
P46 0.865 0.547 0.860
P47 0.865 0.953 0.860
P48 0.919 0.750 0.601
P49 0.927 0.079 0.584
P50 0.927 0.421 0.584
P51 0.934 0.583 0.290
P52 0.934 0.917 0.290
P53 0.944 0.250 0.279
P54 0.968 0.750 0.162
P55 0.970 0.076 0.154
P56 0.970 0.424 0.154
Pb1 0.173 0.750 0.095
Pb2 0.327 0.250 0.595
Pb3 0.673 0.750 0.405
Pb4 0.827 0.250 0.905
# VASP energy = -4.9976 eV/atom
# Volume = 22.44 A^3/atom

# HgP2Pd GGA-PBE relaxed
data_HgP2Pd
_chemical_formula_sum 'Hg2 P4 Pd2'
_cell_length_a 6.859
_cell_length_b 6.859
_cell_length_c 6.859
_cell_angle_alpha 130.81
_cell_angle_beta 130.81
_cell_angle_gamma 72.12
_space_group_name_H-M_alt 'P 1'
_space_group_IT_number 1
loop_
_space_group_symop_operation_xyz
'x,y,z'
loop_
_atom_site_label
_atom_site_fract_x
_atom_site_fract_y
_atom_site_fract_z
Hg1 0.000 0.000 0.000
Hg2 0.750 0.250 0.500
P1 0.171 0.125 0.546
P2 0.375 0.829 0.954
P3 0.579 0.625 0.454
P4 0.875 0.421 0.046
Pd1 0.250 0.750 0.500
Pd2 0.500 0.500 0.000
# VASP energy = -3.8913 eV/atom
# Volume = 22.60 A^3/atom